Record 1
A plane-wave DFT calculation with PBE-GGA was carried out for Ce2Y3Se8 after structural relaxation.

Lattice parameters (Å, degrees): 8.673 8.673 4.936 90.00 90.00 109.53
Sites, in units of the cell vectors:
Ce  0.236  0.764  0.000
Ce  0.764  0.236  0.000
Y  0.222  0.222  0.500
Y  0.500  0.500  0.000
Y  0.778  0.778  0.500
Se  0.126  0.874  0.500
Se  0.138  0.383  0.000
Se  0.382  0.618  0.500
Se  0.383  0.138  0.000
Se  0.617  0.862  0.000
Se  0.618  0.382  0.500
Se  0.862  0.617  0.000
Se  0.874  0.126  0.500

Values from the calculation:
Uncorrected formation energy: -1.662 eV/atom
Calculated total energy: -6.21 eV per atom
Space group: Cmmm, No. 65

=====

Record 2
A plane-wave DFT calculation with PBE-GGA was carried out for Ce2YSe4 after structural relaxation.

Lattice parameters (Å, degrees): 8.287 8.287 8.287 120.05 119.07 90.77
Sites, in units of the cell vectors:
Ce  0.000  0.000  0.000
Ce  0.500  0.000  0.000
Ce  0.500  0.000  0.500
Ce  0.500  0.500  0.500
Y  0.000  0.000  0.500
Y  0.000  0.500  0.000
Se  0.236  0.743  0.493
Se  0.246  0.245  0.498
Se  0.246  0.748  0.002
Se  0.249  0.257  0.993
Se  0.751  0.743  0.007
Se  0.754  0.252  0.998
Se  0.754  0.755  0.502
Se  0.764  0.257  0.507

Values from the calculation:
Uncorrected formation energy: -1.803 eV/atom
Calculated total energy: -6.41 eV per atom
Space group: Imma, No. 74

=====

Record 3
A plane-wave DFT calculation with PBE-GGA was carried out for CeYSe3 after structural relaxation.

Lattice parameters (Å, degrees): 4.125 7.094 9.101 90.00 90.00 90.00
Sites, in units of the cell vectors:
Ce  0.250  0.250  0.154
Ce  0.750  0.750  0.846
Y  0.250  0.750  0.398
Y  0.750  0.250  0.602
Se  0.250  0.521  0.667
Se  0.250  0.750  0.069
Se  0.250  0.979  0.667
Se  0.750  0.021  0.333
Se  0.750  0.250  0.931
Se  0.750  0.479  0.333

Values from the calculation:
Uncorrected formation energy: -1.811 eV/atom
Calculated total energy: -6.38 eV per atom
Space group: Pmmn, No. 59

=====

Record 4
A plane-wave DFT calculation with PBE-GGA was carried out for Ce3YSe4 after structural relaxation.

Lattice parameters (Å, degrees): 7.236 7.236 4.156 90.00 90.00 109.29
Sites, in units of the cell vectors:
Ce  0.000  0.000  0.000
Ce  0.000  0.500  0.500
Ce  0.500  0.000  0.500
Y  0.500  0.500  0.000
Se  0.254  0.746  0.000
Se  0.257  0.257  0.500
Se  0.743  0.743  0.500
Se  0.746  0.254  0.000

Values from the calculation:
Uncorrected formation energy: -1.811 eV/atom
Calculated total energy: -6.59 eV per atom
Space group: Cmmm, No. 65

=====

Record 5
A plane-wave DFT calculation with PBE-GGA was carried out for Ce6YSe8 after structural relaxation.

Lattice parameters (Å, degrees): 8.384 8.384 8.384 60.00 60.00 60.00
Sites, in units of the cell vectors:
Ce  0.000  0.000  0.500
Ce  0.000  0.500  0.000
Ce  0.000  0.500  0.500
Ce  0.500  0.000  0.000
Ce  0.500  0.000  0.500
Ce  0.500  0.500  0.000
Y  0.000  0.000  0.000
Se  0.247  0.247  0.753
Se  0.247  0.753  0.247
Se  0.247  0.753  0.753
Se  0.250  0.250  0.250
Se  0.750  0.750  0.750
Se  0.753  0.247  0.247
Se  0.753  0.247  0.753
Se  0.753  0.753  0.247

Values from the calculation:
Uncorrected formation energy: -1.837 eV/atom
Calculated total energy: -6.50 eV per atom
Space group: Fm-3m, No. 225

=====

Record 6
A plane-wave DFT calculation with PBE-GGA was carried out for CeYSe3 after structural relaxation.

Lattice parameters (Å, degrees): 7.756 4.150 16.034 90.00 90.00 90.00
Sites, in units of the cell vectors:
Ce  0.137  0.250  0.203
Ce  0.363  0.750  0.703
Ce  0.637  0.250  0.297
Ce  0.863  0.750  0.797
Y  0.231  0.750  0.457
Y  0.269  0.250  0.957
Y  0.731  0.750  0.043
Y  0.769  0.250  0.543
Se  0.009  0.250  0.394
Se  0.123  0.750  0.064
Se  0.151  0.250  0.782
Se  0.349  0.750  0.282
Se  0.377  0.250  0.564
Se  0.491  0.750  0.894
Se  0.509  0.250  0.106
Se  0.623  0.750  0.436
Se  0.651  0.250  0.718
Se  0.849  0.750  0.218
Se  0.877  0.250  0.936
Se  0.991  0.750  0.606

Values from the calculation:
Uncorrected formation energy: -1.862 eV/atom
Calculated total energy: -6.43 eV per atom
Space group: Pnma, No. 62

=====

Record 7
A plane-wave DFT calculation with PBE-GGA was carried out for Ce2Y3Se6 after structural relaxation.

Lattice parameters (Å, degrees): 7.110 7.110 7.212 99.48 99.48 119.94
Sites, in units of the cell vectors:
Ce  0.166  0.834  0.000
Ce  0.834  0.166  0.000
Y  0.000  0.000  0.500
Y  0.335  0.665  0.500
Y  0.665  0.335  0.500
Se  0.085  0.414  0.743
Se  0.257  0.257  0.255
Se  0.414  0.085  0.743
Se  0.586  0.915  0.257
Se  0.743  0.743  0.745
Se  0.915  0.586  0.257

Values from the calculation:
Uncorrected formation energy: -1.860 eV/atom
Calculated total energy: -6.60 eV per atom
Space group: C2/m, No. 12

=====

Record 8
A plane-wave DFT calculation with PBE-GGA was carried out for Ce2Y2Se7 after structural relaxation.

Lattice parameters (Å, degrees): 8.863 8.863 8.863 153.12 68.50 118.34
Sites, in units of the cell vectors:
Ce  0.240  0.000  0.240
Ce  0.760  0.000  0.760
Y  0.240  0.240  0.000
Y  0.697  0.197  0.500
Se  0.055  0.693  0.361
Se  0.332  0.693  0.639
Se  0.407  0.517  0.890
Se  0.619  0.302  0.317
Se  0.627  0.517  0.110
Se  0.921  0.921  0.000
Se  0.985  0.302  0.683

Values from the calculation:
Uncorrected formation energy: -1.709 eV/atom
Calculated total energy: -6.18 eV per atom
Space group: Imm2, No. 44

=====

Record 9
A plane-wave DFT calculation with PBE-GGA was carried out for CeY2Se3 after structural relaxation.

Lattice parameters (Å, degrees): 7.178 7.178 7.178 146.85 131.95 59.62
Sites, in units of the cell vectors:
Ce  0.000  0.000  0.000
Y  0.335  0.335  0.000
Y  0.665  0.665  0.000
Se  0.172  0.672  0.500
Se  0.500  0.000  0.500
Se  0.828  0.328  0.500

Values from the calculation:
Uncorrected formation energy: -1.788 eV/atom
Calculated total energy: -6.67 eV per atom
Space group: Immm, No. 71

=====

Record 10
A plane-wave DFT calculation with PBE-GGA was carried out for Ce3YSe6 after structural relaxation.

Lattice parameters (Å, degrees): 7.046 7.791 12.599 90.00 123.09 90.00
Sites, in units of the cell vectors:
Ce  0.000  0.000  0.000
Ce  0.000  0.500  0.500
Ce  0.295  0.103  0.752
Ce  0.295  0.397  0.252
Ce  0.705  0.603  0.748
Ce  0.705  0.897  0.248
Y  0.500  0.000  0.500
Y  0.500  0.500  0.000
Se  0.097  0.061  0.255
Se  0.097  0.439  0.755
Se  0.253  0.681  0.079
Se  0.253  0.819  0.579
Se  0.408  0.185  0.077
Se  0.408  0.315  0.577
Se  0.592  0.685  0.423
Se  0.592  0.815  0.923
Se  0.747  0.181  0.421
Se  0.747  0.319  0.921
Se  0.903  0.561  0.245
Se  0.903  0.939  0.745

Values from the calculation:
Uncorrected formation energy: -1.781 eV/atom
Calculated total energy: -6.30 eV per atom
Space group: P2_1/c, No. 14

=====

Record 11
A plane-wave DFT calculation with PBE-GGA was carried out for Ce5YSe6 after structural relaxation.

Lattice parameters (Å, degrees): 7.247 7.247 7.238 99.62 99.62 120.05
Sites, in units of the cell vectors:
Ce  0.000  0.000  0.000
Ce  0.166  0.834  0.500
Ce  0.331  0.669  0.000
Ce  0.669  0.331  0.000
Ce  0.834  0.166  0.500
Y  0.500  0.500  0.500
Se  0.091  0.418  0.255
Se  0.255  0.255  0.748
Se  0.418  0.091  0.255
Se  0.582  0.909  0.745
Se  0.745  0.745  0.252
Se  0.909  0.582  0.745

Values from the calculation:
Uncorrected formation energy: -1.813 eV/atom
Calculated total energy: -6.57 eV per atom
Space group: C2/m, No. 12

=====

Record 12
A plane-wave DFT calculation with PBE-GGA was carried out for Ce2YSe3 after structural relaxation.

Lattice parameters (Å, degrees): 7.240 7.240 7.240 146.81 131.98 59.63
Sites, in units of the cell vectors:
Ce  0.168  0.168  0.000
Ce  0.832  0.832  0.000
Y  0.500  0.500  0.000
Se  0.000  0.500  0.500
Se  0.339  0.839  0.500
Se  0.661  0.161  0.500

Values from the calculation:
Uncorrected formation energy: -1.805 eV/atom
Calculated total energy: -6.60 eV per atom
Space group: Immm, No. 71

=====

| no. | magnetization (μB/f.u.) |
| --- | --- |
| 1 | 1.1 |
| 2 | 2.2 |
| 3 | 1.0 |
| 4 | 2.7 |
| 5 | 6.8 |
| 6 | 1.0 |
| 7 | 2.3 |
| 8 | 0.4 |
| 9 | 1.1 |
| 10 | 3.0 |
| 11 | 4.5 |
| 12 | 2.0 |